No. 1
Compound: Y5Ho3Sb8
Source: Alexandria
Functional: PBE
Structure: optimized geometry

Summary:
**ΔE_f (raw)**: -1.146 eV/atom
**Uncorrected energy**: -6.09 eV/atom

Lattice parameters (Å, degrees): 8.7661 8.7661 8.7662 60.00 60.00 60.00
Closest atoms and distances in Å follow each position.
Element x y z (fractional)
Y: 0.0000 0.5000 0.0000  6 Sb 3.11
Y: 0.5000 0.5000 0.0000  6 Sb 3.11
Y: 0.0000 0.0000 0.0000  6 Sb 3.10
Y: 0.5000 0.5000 0.5000  6 Sb 3.10
Y: 0.5000 0.0000 0.0000  6 Sb 3.11
Ho: 0.0000 0.5000 0.5000  6 Sb 3.09
Ho: 0.5000 0.0000 0.5000  6 Sb 3.09
Ho: 0.0000 0.0000 0.5000  6 Sb 3.09
Sb: 0.7500 0.7500 0.2512  2 Ho 3.09, 4 Y 3.10-3.11
Sb: 0.2500 0.2500 0.7488  2 Ho 3.09, 4 Y 3.10-3.11
Sb: 0.7506 0.7506 0.7483  3 Ho 3.09, 3 Y 3.11
Sb: 0.7512 0.2500 0.7488  2 Ho 3.09, 4 Y 3.10-3.11
Sb: 0.2494 0.2494 0.2517  3 Ho 3.09, 3 Y 3.11
Sb: 0.2500 0.7512 0.7488  2 Ho 3.09, 4 Y 3.10-3.11
Sb: 0.2488 0.7500 0.2512  2 Ho 3.09, 4 Y 3.10-3.11
Sb: 0.7500 0.2488 0.2512  2 Ho 3.09, 4 Y 3.10-3.11

***

No. 2
Compound: Cs2HgBi
Source: Alexandria
Functional: PBE
Structure: optimized geometry

Summary:
**Uncorrected energy**: -1.70 eV/atom
**DFT formation energy**: -0.228 eV/atom

Lattice parameters (Å, degrees): 4.0863 6.8675 6.8675 90.00 90.00 90.00
Closest atoms and distances in Å follow each position.
Element x y z (fractional)
Cs: 0.0000 0.5000 0.0000  4 Hg 4.00, 4 Bi 4.00, 2 Cs 4.09
Cs: 0.0000 0.0000 0.5000  4 Bi 4.00, 4 Hg 4.00, 2 Cs 4.09
Hg: 0.5000 0.0000 0.0000  8 Cs 4.00, 2 Hg 4.09
Bi: 0.5000 0.5000 0.5000  8 Cs 4.00, 2 Bi 4.09

***

No. 3
Compound: Nd2SmThS4
Source: Alexandria
Functional: PBE
Structure: optimized geometry

Summary:
**ΔE_f (raw)**: -1.973 eV/atom
**Uncorrected energy**: -6.75 eV/atom

Lattice parameters (Å, degrees): 4.0313 7.0210 7.0151 109.33 90.00 90.00
Closest atoms and distances in Å follow each position.
Element x y z (fractional)
Sm: 0.0000 0.0000 0.0000  6 S 2.84
Th: 0.5000 0.5000 0.0000  6 S 2.85
S: 0.0000 0.2491 0.7528  1 Sm 2.84, 2 Th 2.85, 3 Nd 2.87-2.88
S: 0.0000 0.7509 0.2472  1 Sm 2.84, 2 Th 2.85, 3 Nd 2.87-2.88
S: 0.5000 0.2472 0.2454  2 Sm 2.84, 1 Th 2.85, 3 Nd 2.87-2.88
S: 0.5000 0.7528 0.7546  2 Sm 2.84, 1 Th 2.85, 3 Nd 2.87-2.88
Nd: 0.0000 0.5000 0.5000  6 S 2.88
Nd: 0.5000 0.0000 0.5000  6 S 2.87

***

No. 4
Compound: CaPF3
Source: Alexandria
Functional: PBE
Structure: optimized geometry

Summary:
**ΔE_f (raw)**: -1.917 eV/atom
**Uncorrected energy**: -4.52 eV/atom

Lattice parameters (Å, degrees): 4.4395 4.4395 4.4395 90.00 90.00 90.00
Closest atoms and distances in Å follow each position.
Element x y z (fractional)
F: 0.0000 0.0000 0.5000  2 Ca 2.22
F: 0.5000 0.0000 0.0000  2 Ca 2.22
F: 0.0000 0.5000 0.0000  2 Ca 2.22
P: 0.5000 0.5000 0.5000  12 F 3.14
Ca: 0.0000 0.0000 0.0000  6 F 2.22

***

No. 5
Compound: AlC5
Source: Alexandria
Functional: PBE
Structure: optimized geometry

Summary:
**Uncorrected energy**: -6.10 eV/atom
**DFT formation energy**: 2.208 eV/atom

Lattice parameters (Å, degrees): 3.4125 3.4125 5.2573 90.00 90.00 90.00
Closest atoms and distances in Å follow each position.
Element x y z (fractional)
C: 0.0000 0.0000 0.5000  2 C 1.98
C: 0.0000 0.0000 0.8775  1 C 1.29
C: 0.0000 0.0000 0.1225  1 C 1.29
C: 0.5000 0.5000 0.3790  1 C 1.27
C: 0.5000 0.5000 0.6210  1 C 1.27
Al: 0.5000 0.5000 0.0000  2 C 1.99

***

No. 6
Compound: Nb6AlSn
Source: Alexandria
Functional: PBE
Structure: optimized geometry

Summary:
**Uncorrected energy**: -8.70 eV/atom
**DFT formation energy**: -0.184 eV/atom

Lattice parameters (Å, degrees): 5.2704 5.2704 5.2704 90.00 90.00 90.00
Closest atoms and distances in Å follow each position.
Element x y z (fractional)
Sn: 0.0000 0.0000 0.0000  12 Nb 2.96
Nb: 0.7437 0.0000 0.5000  2 Nb 2.57-2.70
Nb: 0.2563 0.0000 0.5000  2 Nb 2.57-2.70
Nb: 0.0000 0.5000 0.7437  2 Nb 2.57-2.70
Nb: 0.5000 0.2563 0.0000  2 Nb 2.57-2.70
Nb: 0.5000 0.7437 0.0000  2 Nb 2.57-2.70
Nb: 0.0000 0.5000 0.2563  2 Nb 2.57-2.70
Al: 0.5000 0.5000 0.5000  12 Nb 2.93

***

No. 7
Compound: Be2CdAu2
Source: Alexandria
Functional: PBE
Structure: optimized geometry

Summary:
**Uncorrected energy**: -3.11 eV/atom
**DFT formation energy**: -0.124 eV/atom

Lattice parameters (Å, degrees): 3.4473 3.4473 6.9422 75.62 75.62 90.00
Closest atoms and distances in Å follow each position.
Element x y z (fractional)
Be: 0.7500 0.2500 0.5000  4 Au 2.37, 4 Be 2.44
Be: 0.2500 0.7500 0.5000  4 Au 2.37, 4 Be 2.44
Au: 0.3750 0.3750 0.2500  4 Be 2.37
Au: 0.6250 0.6250 0.7500  4 Be 2.37
Cd: 0.0000 0.0000 0.0000  8 Au 2.93

***

No. 8
Compound: BaLaB2O6
Source: Alexandria
Functional: PBE
Structure: optimized geometry

Summary:
**ΔE_f (raw)**: -2.734 eV/atom
**Uncorrected energy**: -7.73 eV/atom

Lattice parameters (Å, degrees): 6.7447 6.7447 7.1872 103.49 103.49 99.61
Closest atoms and distances in Å follow each position.
Element x y z (fractional)
O: 0.8119 0.7898 0.8775  1 B 1.37
O: 0.7898 0.8119 0.3775  1 B 1.37
O: 0.2909 0.5208 0.3896  1 B 1.39
O: 0.5208 0.2909 0.8896  1 B 1.39
O: 0.9348 0.4089 0.1866  1 B 1.37
O: 0.5911 0.0652 0.3134  1 B 1.37
O: 0.4089 0.9348 0.6866  1 B 1.37
O: 0.1881 0.2102 0.1225  1 B 1.37
O: 0.0652 0.5911 0.8134  1 B 1.37
O: 0.7091 0.4792 0.6104  1 B 1.39
O: 0.2102 0.1881 0.6225  1 B 1.37
O: 0.4792 0.7091 0.1104  1 B 1.39
B: 0.1330 0.3752 0.2350  3 O 1.37-1.39
B: 0.8670 0.6248 0.7650  3 O 1.37-1.39
B: 0.6248 0.8670 0.2650  3 O 1.37-1.39
B: 0.3752 0.1330 0.7350  3 O 1.37-1.39
La: 0.4045 0.5955 0.7500  8 O 2.43-2.68
La: 0.5955 0.4045 0.2500  8 O 2.43-2.68
Ba: 0.8576 0.1424 0.7500  8 O 2.74-3.00
Ba: 0.1424 0.8576 0.2500  8 O 2.74-3.00

***

No. 9
Compound: SrMg2Ga2
Source: Alexandria
Functional: PBE
Structure: optimized geometry

Summary:
**Uncorrected energy**: -2.37 eV/atom
**DFT formation energy**: -0.180 eV/atom

Lattice parameters (Å, degrees): 8.4736 8.4736 3.1894 90.00 90.00 90.00
Closest atoms and distances in Å follow each position.
Element x y z (fractional)
Mg: 0.3757 0.8757 0.0000  6 Ga 2.93-2.99, 3 Mg 2.98-3.19
Mg: 0.1243 0.3757 0.0000  6 Ga 2.93-2.99, 3 Mg 2.98-3.19
Mg: 0.8757 0.6243 0.0000  6 Ga 2.93-2.99, 3 Mg 2.98-3.19
Mg: 0.6243 0.1243 0.0000  6 Ga 2.93-2.99, 3 Mg 2.98-3.19
Ga: 0.1710 0.6710 0.5000  6 Mg 2.93-2.99, 2 Ga 3.19
Ga: 0.6710 0.8290 0.5000  6 Mg 2.93-2.99, 2 Ga 3.19
Ga: 0.3290 0.1710 0.5000  6 Mg 2.93-2.99, 2 Ga 3.19
Ga: 0.8290 0.3290 0.5000  6 Mg 2.93-2.99, 2 Ga 3.19
Sr: 0.0000 0.0000 0.0000  2 Sr 3.19, 4 Mg 3.35, 8 Ga 3.52
Sr: 0.5000 0.5000 0.0000  2 Sr 3.19, 4 Mg 3.35, 8 Ga 3.52

***

No. 10
Compound: Tb3Cd2Co2
Source: Alexandria
Functional: PBE
Structure: optimized geometry

Summary:
**Uncorrected energy**: -4.55 eV/atom
**DFT formation energy**: -0.271 eV/atom

Lattice parameters (Å, degrees): 3.8178 3.8563 10.9059 90.00 79.92 90.00
Closest atoms and distances in Å follow each position.
Element x y z (fractional)
Tb: 0.1759 0.0000 0.6483  6 Co 2.89-2.90
Tb: 0.8241 0.0000 0.3517  6 Co 2.89-2.90
Tb: 0.0000 0.0000 0.0000  8 Cd 3.30
Cd: 0.5877 0.5000 0.8246  1 Co 2.92
Cd: 0.4123 0.5000 0.1754  1 Co 2.92
Co: 0.2763 0.5000 0.4474  2 Co 2.22
Co: 0.7237 0.5000 0.5526  2 Co 2.22

***

No. 11
Compound: CeYIn6
Source: Alexandria
Functional: PBE
Structure: optimized geometry

Summary:
**Uncorrected energy**: -3.97 eV/atom
**DFT formation energy**: -0.364 eV/atom

Lattice parameters (Å, degrees): 5.2748 6.7033 6.7033 119.97 90.00 90.00
Closest atoms and distances in Å follow each position.
Element x y z (fractional)
Ce: 0.5000 0.4164 0.5836  12 In 3.32-3.35
In: 0.5000 0.4277 0.0891  8 In 3.23-3.47, 2 Y 3.31, 2 Ce 3.35
In: 0.5000 0.9114 0.0886  8 In 3.23-3.46, 2 Y 3.31, 2 Ce 3.35
In: 0.5000 0.9109 0.5723  8 In 3.23-3.47, 2 Y 3.31, 2 Ce 3.35
In: 0.0000 0.0677 0.4087  8 In 3.19-3.51, 2 Ce 3.33, 2 Y 3.35
In: 0.0000 0.5908 0.4092  8 In 3.20-3.51, 2 Ce 3.32, 2 Y 3.35
In: 0.0000 0.5913 0.9323  8 In 3.19-3.51, 2 Ce 3.33, 2 Y 3.35
Y: 0.0000 0.0835 0.9165  12 In 3.31-3.35

***

No. 12
Compound: La2BiO5
Source: Alexandria
Functional: PBE
Structure: optimized geometry

Summary:
**ΔE_f (raw)**: -2.544 eV/atom
**Uncorrected energy**: -7.36 eV/atom

Lattice parameters (Å, degrees): 7.0969 7.7545 9.9966 90.00 106.55 90.00
Closest atoms and distances in Å follow each position.
Element x y z (fractional)
O: 0.0618 0.3859 0.8915  4 La 2.37-2.55
O: 0.2470 0.3934 0.5545  1 Bi 2.28, 2 La 2.51-2.52
O: 0.7530 0.6066 0.4455  1 Bi 2.28, 2 La 2.51-2.52
O: 0.3788 0.1771 0.3351  2 Bi 2.17-2.26
O: 0.5618 0.1141 0.8915  4 La 2.37-2.55
O: 0.3476 0.6028 0.2798  1 Bi 2.19
O: 0.1212 0.6771 0.6649  2 Bi 2.17-2.26
O: 0.4835 0.3713 0.0967  1 Bi 2.13
O: 0.6524 0.3972 0.7202  1 Bi 2.19
O: 0.8476 0.8972 0.2798  1 Bi 2.19
O: 0.7470 0.1066 0.5545  1 Bi 2.28, 2 La 2.51-2.52
O: 0.9382 0.6141 0.1085  4 La 2.37-2.55
O: 0.6212 0.8229 0.6649  2 Bi 2.17-2.26
O: 0.8788 0.3229 0.3351  2 Bi 2.17-2.26
O: 0.0165 0.8713 0.9033  1 Bi 2.13
O: 0.5165 0.6287 0.9033  1 Bi 2.13
O: 0.2530 0.8934 0.4455  1 Bi 2.28, 2 La 2.51-2.52
O: 0.9835 0.1287 0.0967  1 Bi 2.13
O: 0.4382 0.8859 0.1085  4 La 2.37-2.55
O: 0.1524 0.1028 0.7202  1 Bi 2.19
La: 0.2600 0.1275 0.9806  7 O 2.41-2.60
La: 0.2400 0.6275 0.0194  7 O 2.41-2.60
La: 0.7400 0.8725 0.0194  7 O 2.41-2.60
La: 0.0487 0.6297 0.3555  6 O 2.37-2.65
La: 0.7600 0.3725 0.9806  7 O 2.41-2.60
La: 0.5487 0.8703 0.3555  6 O 2.37-2.65
La: 0.4513 0.1297 0.6445  6 O 2.37-2.65
La: 0.9513 0.3703 0.6445  6 O 2.37-2.65
Bi: 0.0635 0.1064 0.3181  5 O 2.13-2.28
Bi: 0.4365 0.6064 0.6819  5 O 2.13-2.28
Bi: 0.5635 0.3936 0.3181  5 O 2.13-2.28
Bi: 0.9365 0.8936 0.6819  5 O 2.13-2.28